The following is a DFT calculation (PBE-GGA) of an optimized crystal structure of Sm3IrO7.

Cell: 7.6871 10.7553 7.5517 Å, 90.00 90.00 90.00°
Space group C222_1 (No. 20)
Asymmetric unit:
Sm  0.0284  0.0000  0.0000
Sm  0.2332  0.2677  0.7550
Ir  0.0009  0.5000  0.5000
O  0.0000  0.1309  0.2500
O  0.0000  0.1360  0.7500
O  0.0000  0.4319  0.7500
O  0.1823  0.3751  0.0325
O  0.1995  0.3789  0.4760

## Properties
- Raw formation energy: -2756.3 kJ/mol of formula units
- D(E_F): 16.59 states/eV/cell
- Spin magnetization: 0.181 μB per atom

The following is a DFT calculation (PBE-GGA) of an optimized crystal structure of NaPa2C2N6.

Cell: 5.1645 5.5918 6.1677 Å, 113.49 103.61 104.64°
Space group P-1 (No. 2)
Asymmetric unit:
Na  0.0000  0.0000  0.0000
Pa  0.2628  0.3769  0.6620
C  0.2491  0.7223  0.2671
N  0.1497  0.9328  0.3523
N  0.2382  0.5524  0.3815
N  0.3547  0.6701  0.0775

## Properties
- Raw formation energy: -768.9 kJ/mol of formula units
- D(E_F): 5.08 states/eV/cell
- Spin magnetization: 0.077 μB per atom